# 1
Compound: Sm3ZnOs
Source: the Alexandria database
Functional: PBE
Structure: relaxed

The structure belongs to space group Fmmm (No. 69); the cell edges are 6.5057, 9.7878 and 15.9382 Å and the angles 90.00°, 90.00° and 90.00°. The asymmetric unit holds Sm at (0.0000, 0.0000, 0.1975), Sm at (0.0000, 0.1871, 0.3950), Zn at (0.1909, 0.0000, 0.0000) and Os at (0.2500, 0.2500, 0.2500).

The density of states at the Fermi level comes out at 31.378 states/eV/cell. As for the calculated formation energy: -212 meV per atom. Its total energy is -5.545 eV per atom. As for the total magnetization: 0.000 μB per cell.

***

# 2
Compound: Sm3Zn2Os
Source: the Alexandria database
Functional: PBE
Structure: relaxed

The structure belongs to space group Pnma (No. 62); the cell edges are 12.1933, 4.4142 and 11.0459 Å and the angles 90.00°, 90.00° and 90.00°. The asymmetric unit holds Sm at (0.0534, 0.2500, 0.1155), Sm at (0.1121, 0.7500, 0.5539), Sm at (0.2360, 0.2500, 0.7879), Zn at (0.0113, 0.7500, 0.2996), Zn at (0.2016, 0.7500, 0.9927) and Os at (0.1190, 0.2500, 0.3642).

The density of states at the Fermi level comes out at 21.131 states/eV/cell. As for the calculated formation energy: -234 meV per atom. Its total energy is -4.890 eV per atom. As for the total magnetization: 0.000 μB per cell.